Entry 1:
An optimized crystal structure of Pr5Si2Br2. Source: Alexandria, functional GGA-PBE.

The value obtained for the uncorrected energy is -45.85 eV per formula unit. The calculation puts the formation energy without anion corrections at -7.76 eV/f.u. Its crystal system is orthorhombic. The calculation puts the density of states at the Fermi level at 8.5 states/eV/f.u.

The space group is Cmce (No. 64) and the conventional cell measures 15.576, 7.987 and 7.940 Å, with angles of 90.00, 90.00 and 90.00 degrees. The asymmetric unit holds Pr at (0.000, 0.000, 0.000), Pr at (0.127, 0.170, 0.333), Si at (0.000, 0.124, 0.624) and Br at (0.201, 0.000, 0.000).


Entry 2:
An optimized crystal structure of Ce3OsRu2. Source: Alexandria, functional GGA-PBE.

The value obtained for the uncorrected energy is -48.58 eV per formula unit. Its crystal system is monoclinic. The calculation puts the density of states at the Fermi level at 6.9 states/eV/f.u.

The space group is C2/c (No. 15) and the conventional cell measures 11.245, 7.383 and 6.490 Å, with angles of 90.00, 96.61 and 90.00 degrees. The asymmetric unit holds Ce at (0.000, 0.174, 0.250), Ce at (0.214, 0.479, 0.024), Os at (0.000, 0.474, 0.750) and Ru at (0.124, 0.148, 0.767).


Entry 3:
An optimized crystal structure of LaDyTaO6. Source: Alexandria, functional GGA-PBE.

The value obtained for the uncorrected energy is -78.05 eV per formula unit. The calculation puts the formation energy without anion corrections at -26.92 eV/f.u. Its crystal system is trigonal. The calculation puts the density of states at the Fermi level at 6.3 states/eV/f.u.

The space group is P312 (No. 149) and the conventional cell measures 5.6609, 5.6609 and 5.0118 Å, with angles of 90.00, 90.00 and 120.00 degrees. The asymmetric unit holds La at (0.0000, 0.0000, 0.0000), Dy at (0.3333, 0.6667, 0.5000), Ta at (0.6667, 0.3333, 0.5000) and O at (0.3718, 0.0340, 0.7196).


- Which value of uncorrected energy does entry 2 give?
  -48.58 eV per formula unit


- The highest uncorrected energy belongs to which entry?
  Pr5Si2Br2